Entry 1:
Computed, not measured: an optimized crystal structure of TcAsPd at the PBE level of DFT.

Output
energy of formation from the pure elements: -0.074 eV per atom
magnetic moment: 0.0 μB/f.u.
SG: Cm, No. 8
E above lowest polymorph: 96.1 meV per atom

abc: 6.905 6.905 4.400
angles: 91.04 91.04 25.99
Positions (direct):
Tc  0.000  0.000  0.000
Tc  0.650  0.650  0.757
As  0.159  0.159  0.300
As  0.486  0.486  0.458
Pd  0.338  0.338  0.764
Pd  0.801  0.801  0.256


Entry 2:
Computed, not measured: an optimized crystal structure of Ba2CdHPt at the PBE level of DFT.

Output
magnetic moment: 0.0 μB/f.u.
SG: P4/mmm, No. 123
E above lowest polymorph: 79.2 meV per atom

abc: 5.436 5.436 4.403
angles: 90.00 90.00 90.00
Positions (direct):
Ba  0.000  0.500  0.000
Ba  0.500  0.000  0.000
Cd  0.000  0.000  0.500
H  0.000  0.000  0.000
Pt  0.500  0.500  0.500


Entry 3:
Computed, not measured: an optimized crystal structure of Mg5Al2Sn at the PBE level of DFT.

Output
energy of formation from the pure elements: -0.008 eV per atom
magnetic moment: 0.0 μB/f.u.
SG: I4/mcm, No. 140

abc: 8.481 8.481 8.481
angles: 129.07 129.07 74.90
Positions (direct):
Mg  0.000  0.000  0.000
Mg  0.013  0.513  0.824
Mg  0.189  0.013  0.500
Mg  0.311  0.811  0.824
Mg  0.487  0.311  0.500
Mg  0.500  0.500  0.000
Mg  0.513  0.689  0.500
Mg  0.689  0.189  0.176
Mg  0.811  0.987  0.500
Mg  0.987  0.487  0.176
Al  0.128  0.372  0.500
Al  0.372  0.872  0.243
Al  0.628  0.128  0.757
Al  0.872  0.628  0.500
Sn  0.250  0.250  0.000
Sn  0.750  0.750  0.000


Entry 4:
Computed, not measured: an optimized crystal structure of Ti2SeO at the PBE level of DFT.

Output
formation energy (no corrections): -1463 meV/atom
magnetic moment: 0.0 μB/f.u.
SG: I-42d, No. 122
E above lowest polymorph: 95.7 meV per atom

abc: 6.508 6.508 6.508
angles: 134.90 134.90 65.69
Positions (direct):
Ti  0.023  0.625  0.898
Ti  0.375  0.273  0.398
Ti  0.727  0.125  0.102
Ti  0.875  0.977  0.602
Se  0.250  0.750  0.500
Se  0.500  0.500  0.000
O  0.000  0.000  0.000
O  0.750  0.250  0.500


Entry 5:
Computed, not measured: an optimized crystal structure of AgHgC3 at the PBE level of DFT.

Output
energy of formation from the pure elements: 3.209 eV per atom
magnetic moment: 0.0 μB/f.u.
SG: Pm-3m, No. 221
E above lowest polymorph: 0.0 meV per atom

abc: 4.244 4.244 4.244
angles: 90.00 90.00 90.00
Positions (direct):
Ag  0.000  0.000  0.000
Hg  0.500  0.500  0.500
C  0.000  0.000  0.500
C  0.000  0.500  0.000
C  0.500  0.000  0.000


Entry 6:
Computed, not measured: an optimized crystal structure of Rb2CeNi2S4 at the PBE level of DFT.

Output
formation energy (no corrections): -1129 meV/atom
magnetic moment: 1.1 μB/f.u.
SG: C2/m, No. 12

abc: 7.520 7.520 7.843
angles: 108.37 108.37 30.32
Positions (direct):
Rb  0.136  0.136  0.059
Rb  0.864  0.864  0.941
Ce  0.000  0.000  0.500
Ni  0.314  0.314  0.508
Ni  0.686  0.686  0.492
S  0.201  0.201  0.651
S  0.472  0.472  0.723
S  0.528  0.528  0.277
S  0.799  0.799  0.349


Entry 7:
Computed, not measured: an optimized crystal structure of ReBP2O at the PBE level of DFT.

Output
formation energy (no corrections): 370 meV/atom
magnetic moment: 0.0 μB/f.u.
SG: P4/mmm, No. 123
E above lowest polymorph: 0.0 meV per atom

abc: 4.739 4.739 2.691
angles: 90.00 90.00 90.00
Positions (direct):
Re  0.000  0.000  0.000
B  0.500  0.500  0.500
P  0.000  0.500  0.500
P  0.500  0.000  0.500
O  0.500  0.500  0.000


Entry 8:
Computed, not measured: an optimized crystal structure of Nd4Rh2Cl3 at the PBE level of DFT.

Output
formation energy (no corrections): -1334 meV/atom
magnetic moment: 0.0 μB/f.u.
SG: C2/m, No. 12

abc: 4.049 4.049 18.077
angles: 90.05 90.05 60.00
Positions (direct):
Nd  0.001  0.001  0.307
Nd  0.333  0.333  0.125
Nd  0.667  0.667  0.875
Nd  0.999  0.999  0.693
Rh  0.333  0.333  0.789
Rh  0.667  0.667  0.211
Cl  0.000  0.000  0.000
Cl  0.334  0.334  0.405
Cl  0.666  0.666  0.595


Record order is preserved below.
VASP energy: -6.810; -3.194; -2.441; -7.521; -2.956; -5.122; -6.611; -5.702 eV per atom